[1]
UMnGe2 | PBE-GGA | optimized geometry

## Properties
SG: P4/mmm (123)
total magnetization: 1.6 μB/f.u.
energy relative to the elements: -0.049 eV/atom

CIF file:
```
data_UMnGe2
_chemical_formula_sum 'U1 Mn1 Ge2'
_cell_length_a 4.056
_cell_length_b 4.247
_cell_length_c 4.247
_cell_angle_alpha 90.00
_cell_angle_beta 90.00
_cell_angle_gamma 90.00
_space_group_name_H-M_alt 'P 1'
_space_group_IT_number 1
_space_group_name_Hall 'P 1'
loop_
_atom_site_label
_atom_site_type_symbol
_atom_site_fract_x
_atom_site_fract_y
_atom_site_fract_z
_atom_site_occupancy
Mn1 Mn 0.500 0.500 0.500 1
Ge1 Ge 0.000 0.500 0.000 1
U1 U 0.500 0.000 0.000 1
Ge2 Ge 0.000 0.000 0.500 1
```

***

[2]
Pr2NdTh3Te6 | PBE-GGA | optimized geometry

## Properties
ΔE_f (raw): -14.5 eV/f.u.
SG: C2/m (12)
total magnetization: 0.0 μB/f.u.

CIF file:
```
data_Pr2NdTh3Te6
_chemical_formula_sum 'Pr2 Nd1 Th3 Te6'
_cell_length_a 4.506
_cell_length_b 8.963
_cell_length_c 10.179
_cell_angle_alpha 105.97
_cell_angle_beta 102.79
_cell_angle_gamma 90.00
_space_group_name_H-M_alt 'P 1'
_space_group_IT_number 1
_space_group_name_Hall 'P 1'
loop_
_atom_site_label
_atom_site_type_symbol
_atom_site_fract_x
_atom_site_fract_y
_atom_site_fract_z
_atom_site_occupancy
Te1 Te 0.001 0.751 0.001 1
Th1 Th 0.500 0.500 0.000 1
Te2 Te 0.334 0.918 0.668 1
Te3 Te 0.667 0.584 0.333 1
Pr1 Pr 0.833 0.667 0.667 1
Nd1 Nd 0.500 0.000 0.000 1
Th2 Th 0.167 0.834 0.335 1
Te4 Te 0.333 0.416 0.667 1
Te5 Te 0.999 0.249 0.999 1
Te6 Te 0.666 0.082 0.332 1
Pr2 Pr 0.167 0.333 0.333 1
Th3 Th 0.833 0.166 0.665 1
```